InCuSe2, relaxed, DFT PBE; E_form (uncorrected) = -0.0075 eV/atom; crystal system = trigonal; SG = R-3m, No. 166
1.0
1.8078 1.0437 8.3314
-1.8078 1.0437 8.3314
0.0000 -2.0875 8.3314
In Cu Se
1 1 2
direct
0.0000 0.0000 0.0000 In
0.5000 0.5000 0.5000 Cu
0.1128 0.1128 0.1128 Se
0.8872 0.8872 0.8872 Se

ErMgRe4, relaxed, DFT PBE; formation energy from the elements = -0.04 eV per atom; crystal system = cubic; SG = F-43m, No. 216
1.0
0.0000 3.7648 3.7648
3.7648 0.0000 3.7648
3.7648 3.7648 0.0000
Er Mg Re
1 1 4
direct
0.0000 0.0000 0.0000 Er
0.7500 0.7500 0.7500 Mg
0.3755 0.3755 0.3755 Re
0.3755 0.3755 0.8736 Re
0.3755 0.8736 0.3755 Re
0.8736 0.3755 0.3755 Re

LiMoBr2, relaxed, DFT PBE; excess energy over the best structure of this formula in the dataset = 75 meV/atom; E_form (uncorrected) = -0.0375 eV/atom; crystal system = tetragonal; SG = I-42d, No. 122
1.0
-3.1555 3.1555 5.9366
3.1555 -3.1555 5.9366
3.1555 3.1555 -5.9366
Li Mo Br
2 2 4
direct
0.0000 0.0000 0.0000 Li
0.7500 0.2500 0.5000 Li
0.2500 0.7500 0.5000 Mo
0.5000 0.5000 0.0000 Mo
0.0900 0.6250 0.9650 Br
0.3750 0.3400 0.4650 Br
0.6600 0.1250 0.0350 Br
0.8750 0.9100 0.5350 Br

GaAuS, relaxed, DFT PBE; excess energy over the best structure of this formula in the dataset = 0 meV/atom; E_form (uncorrected) = -0.3327 eV/atom; crystal system = monoclinic; SG = Pm, No. 6
1.0
3.6175 0.0000 0.0000
0.0000 3.7992 0.0000
-1.8022 0.0000 4.8498
Ga Au S
1 1 1
direct
0.0000 0.0000 0.0000 Ga
0.8308 0.5000 0.6621 Au
0.6521 0.0000 0.3055 S

FeH2W, relaxed, DFT PBE; excess energy over the best structure of this formula in the dataset = 0 meV/atom; crystal system = trigonal; SG = R-3m, No. 166
1.0
1.4020 0.8095 4.7754
-1.4020 0.8095 4.7754
0.0000 -1.6189 4.7754
Fe H W
1 2 1
direct
0.0000 0.0000 0.0000 Fe
0.3710 0.3710 0.3710 H
0.6290 0.6290 0.6290 H
0.5000 0.5000 0.5000 W

CaIr2Se, relaxed, DFT PBE; excess energy over the best structure of this formula in the dataset = 234 meV/atom; E_form (uncorrected) = -0.0063 eV/atom; crystal system = orthorhombic; SG = Imm2, No. 44
1.0
-1.5771 2.4140 4.7407
1.5771 -2.4140 4.7407
1.5771 2.4140 -4.7407
Ca Ir Se
1 2 1
direct
0.0000 0.0000 0.0000 Ca
0.2890 0.7890 0.5000 Ir
0.5261 0.5261 0.0000 Ir
0.7274 0.2274 0.5000 Se

Nd5Dy4Tm4, relaxed, DFT PBE; formation energy from the elements = 0.02 eV per atom; crystal system = tetragonal; SG = I4/m, No. 87
1.0
-6.4597 6.4597 2.5249
6.4597 -6.4597 2.5249
6.4597 6.4597 -2.5249
Nd Dy Tm
5 4 4
direct
0.0000 0.0000 0.0000 Nd
0.3056 0.4607 0.7663 Nd
0.4607 0.6944 0.1551 Nd
0.5393 0.3056 0.8449 Nd
0.6944 0.5393 0.2337 Nd
0.0759 0.6146 0.6905 Dy
0.3854 0.0759 0.4613 Dy
0.6146 0.9241 0.5387 Dy
0.9241 0.3854 0.3095 Dy
0.1550 0.2330 0.3880 Tm
0.2330 0.8450 0.0781 Tm
0.7670 0.1550 0.9219 Tm
0.8450 0.7670 0.6120 Tm

LiMoBr2, relaxed, DFT PBE; excess energy over the best structure of this formula in the dataset = 155 meV/atom; E_form (uncorrected) = 0.0425 eV/atom; crystal system = trigonal; SG = R-3m, No. 166
1.0
1.6881 0.9746 9.0143
-1.6881 0.9746 9.0143
0.0000 -1.9492 9.0143
Li Mo Br
1 1 2
direct
0.0000 0.0000 0.0000 Li
0.5000 0.5000 0.5000 Mo
0.1001 0.1001 0.1001 Br
0.8999 0.8999 0.8999 Br